Mn2HgPtAu: optimized geometry, PBE.

Calculated values
* raw total energy: -4.3971 eV per atom
* ΔH_f (0 K): 1194.7 meV/atom

abc: 4.9647 4.9647 5.0216
angles: 90.00 90.00 90.00
Closest atoms and distances in Å follow each position.
Positions (direct):
Mn 0.0000 0.5000 0.0000  2 Hg 2.48
Mn 0.5000 0.0000 0.0000  2 Hg 2.48
Hg 0.0000 0.0000 0.0000  4 Mn 2.48, 2 Pt 2.51
Pt 0.0000 0.0000 0.5000  2 Hg 2.51
Au 0.5000 0.5000 0.5000  4 Pt 3.51, 8 Mn 3.53